Below is BaZn2TcBi after structural relaxation, with properties calculated at the GGA-PBE level.

a b c (Å): 5.480 5.480 5.332
angles (deg): 90.00 90.00 90.00
Space group P4/mmm (No. 123)
Unique sites:
Ba: 0.000 0.000 0.000
Zn: 0.000 0.500 0.500
Tc: 0.500 0.500 0.000
Bi: 0.500 0.500 0.500

Calculated values
As for the magnetic moment: 0.47 μB per atom. The value obtained for the calculated total energy is -3.02 eV per atom.

***

Below is Ba4Bi2Te after structural relaxation, with properties calculated at the GGA-PBE level.

a b c (Å): 11.073 11.073 11.867
angles (deg): 90.00 90.00 90.00
Space group I4_1/amd (No. 141, origin choice 2)
Unique sites:
Ba: 0.000 0.055 0.215
Bi: 0.000 0.000 0.500
Te: 0.000 0.250 0.875

Calculated values
The energy relative to the elements, uncorrected is -7.39 eV/f.u. As for the magnetic moment: 0.00 μB per atom. The value obtained for the calculated total energy is -3.71 eV per atom.

***

Below is BaBiTe2 after structural relaxation, with properties calculated at the GGA-PBE level.

a b c (Å): 4.9501 4.9501 29.4951
angles (deg): 90.00 90.00 120.00
Space group R-3m (No. 166, hexagonal axes)
Unique sites:
Ba: 0.0000 0.0000 0.0000
Bi: 0.0000 0.0000 0.5000
Te: 0.0000 0.0000 0.4005

Calculated values
The energy relative to the elements, uncorrected is -1.86 eV/f.u. As for the magnetic moment: 0.00 μB per atom. The value obtained for the calculated total energy is -3.49 eV per atom.

***

Below is Ba2BiTe3 after structural relaxation, with properties calculated at the GGA-PBE level.

a b c (Å): 15.127 7.063 9.812
angles (deg): 90.00 108.93 90.00
Space group C2/c (No. 15)
Unique sites:
Ba: 0.167 0.000 0.084
Bi: 0.000 0.498 0.250
Te: 0.000 0.004 0.750
Te: 0.150 0.500 0.075

Calculated values
The energy relative to the elements, uncorrected is -6.82 eV/f.u. As for the magnetic moment: 0.00 μB per atom. The value obtained for the calculated total energy is -3.99 eV per atom.

***

Which value of calculated total energy does entry 2 give? -3.71 eV per atom

***

Among the records above, which one has the lowest calculated total energy? Ba2BiTe3